The following is a GGA+U calculation of a relaxed structure of Mo2IrNF, from the Alexandria database.

Computed properties:
The density of states at the Fermi level is 2.34 states/eV/f.u. The volume is 15.686 Å³ per atom. The value obtained for the density is 8.8 Mg/m³. Its space group is P4/mmm (123). The calculation puts the raw total energy at -5.1688 eV per atom.

a = 4.3335 Å, b = 4.1764 Å, c = 4.3335 Å
α = 90.00°, β = 90.00°, γ = 90.00°
Element x y z (fractional)
Mo  0.0000  0.0000  0.5000
Mo  0.5000  0.0000  0.0000
F  0.0000  0.0000  0.0000
N  0.0000  0.5000  0.0000
Ir  0.5000  0.5000  0.5000